Entry from Alexandria via LeMat-Bulk: HoNb2C after structural relaxation (PBE).

abc: 3.1776 3.1776 25.5602
angles: 90.00 90.00 120.00
Space group R-3m (No. 166, hexagonal axes)
One atom of each set of equivalent atoms:
Ho1 0.0000 0.0000 0.0000 x3
Nb1 0.0000 0.0000 0.1199 x6
C1 0.0000 0.0000 0.5000 x3

Calculated values
- Calculated density: 8.1 g/cm³

---

Entry from Alexandria via LeMat-Bulk: Ho2Nb2C3 after structural relaxation (PBE).

abc: 11.652 3.404 5.783
angles: 90.00 107.71 90.00
Space group C2/m (No. 12)
One atom of each set of equivalent atoms:
Ho1 0.112 0.000 0.339 x4
Nb1 0.148 0.500 0.837 x4
C1 0.000 0.500 0.500 x2
C2 0.246 0.000 0.767 x4

Calculated values
- Calculated density: 8.4 g/cm³

---

Entry from Alexandria via LeMat-Bulk: HoNbC2 after structural relaxation (PBE).

abc: 3.3083 3.3083 16.7253
angles: 90.00 90.00 120.00
Space group R-3m (No. 166, hexagonal axes)
One atom of each set of equivalent atoms:
Ho1 0.0000 0.0000 0.0000 x3
Nb1 0.0000 0.0000 0.5000 x3
C1 0.0000 0.0000 0.2405 x6

Calculated values
- Calculated density: 8.9 g/cm³

---

| no. | raw total energy (eV/atom) |
| --- | --- |
| 1 | -8.49 |
| 2 | -8.59 |
| 3 | -8.70 |